Below is a relaxed structure of Tl2HgSb, with properties calculated at the PBE level.

a = 4.766 Å, b = 4.766 Å, c = 7.422 Å
α = 71.27°, β = 71.27°, γ = 60.00°
Fractional positions:
Tl  0.075  0.075  0.776
Tl  0.260  0.260  0.220
Hg  0.496  0.496  0.511
Sb  0.669  0.669  0.993

Computed properties:
Fermi-level density of states: 1.140 states/eV/f.u.
Space-group type: R3m (160)
Energy relative to the lowest polymorph listed for this composition: 0.054 eV per atom
Magnetic moment: 0.00 μB per cell
Theoretical density: 8.95 g/cm3

Below is a relaxed structure of ScTcSeBr2, with properties calculated at the PBE level.

a = 5.093 Å, b = 5.093 Å, c = 4.806 Å
α = 90.00°, β = 90.00°, γ = 90.00°
Fractional positions:
Sc  0.500  0.500  0.500
Se  0.000  0.000  0.500
Tc  0.000  0.000  0.000
Br  0.000  0.500  0.000
Br  0.500  0.000  0.000

Computed properties:
Fermi-level density of states: 8.154 states/eV/f.u.
Space-group type: P4/mmm (123)
Energy relative to the lowest polymorph listed for this composition: 0.159 eV per atom
Magnetic moment: 0.00 μB per cell
Theoretical density: 5.08 g/cm3

Below is a relaxed structure of Ba2SrAl2, with properties calculated at the PBE level.

a = 5.237 Å, b = 5.237 Å, c = 8.219 Å
α = 71.42°, β = 71.42°, γ = 90.00°
Fractional positions:
Sr  0.000  0.000  0.000
Ba  0.750  0.250  0.500
Ba  0.250  0.750  0.500
Al  0.413  0.413  0.174
Al  0.587  0.587  0.826

Computed properties:
Fermi-level density of states: 1.331 states/eV/f.u.
Energy of formation from the pure elements: 4.5 kJ per mole of atoms
Space-group type: I4/mmm (139)
Energy relative to the lowest polymorph listed for this composition: 0.101 eV per atom
Magnetic moment: 0.00 μB per cell
Theoretical density: 3.43 g/cm3

Below is a relaxed structure of MgTlGaI4, with properties calculated at the PBE level.

a = 7.886 Å, b = 8.359 Å, c = 9.411 Å
α = 90.00°, β = 106.80°, γ = 90.00°
Fractional positions:
Mg  0.237  0.750  0.318
Mg  0.763  0.250  0.682
Tl  0.784  0.750  0.949
Tl  0.216  0.250  0.051
Ga  0.765  0.750  0.446
Ga  0.235  0.250  0.554
I  0.997  0.503  0.741
I  0.003  0.003  0.259
I  0.003  0.497  0.259
I  0.997  0.997  0.741
I  0.447  0.750  0.133
I  0.553  0.250  0.867
I  0.454  0.750  0.602
I  0.546  0.250  0.398

Computed properties:
Fermi-level density of states: 0.000 states/eV/f.u.
Total DFT energy (no corrections): -2.584 eV/atom
Space-group type: P2_1/m (11)
Magnetic moment: 0.00 μB per cell
Theoretical density: 4.51 g/cm3

Below is a relaxed structure of AcTlBiTe, with properties calculated at the PBE level.

a = 5.779 Å, b = 5.779 Å, c = 5.779 Å
α = 60.00°, β = 60.00°, γ = 60.00°
Fractional positions:
Ac  0.250  0.250  0.250
Te  0.500  0.500  0.500
Bi  0.000  0.000  0.000
Tl  0.750  0.750  0.750

Computed properties:
Fermi-level density of states: 4.316 states/eV/f.u.
Total DFT energy (no corrections): -3.996 eV/atom
Space-group type: F-43m (216)
Magnetic moment: 0.00 μB per cell
Theoretical density: 9.35 g/cm3

Below is a relaxed structure of SbP2S8, with properties calculated at the PBE level.

a = 6.059 Å, b = 7.980 Å, c = 7.980 Å
α = 104.56°, β = 78.80°, γ = 78.80°
Fractional positions:
Sb  0.000  0.000  0.000
P  0.291  0.235  0.235
P  0.709  0.765  0.765
S  0.811  0.979  0.715
S  0.189  0.285  0.021
S  0.623  0.244  0.244
S  0.377  0.756  0.756
S  0.811  0.715  0.979
S  0.189  0.021  0.285
S  0.183  0.466  0.466
S  0.817  0.534  0.534

Computed properties:
Fermi-level density of states: 8.369 states/eV/f.u.
Total DFT energy (no corrections): -4.442 eV/atom
Space-group type: C2/m (12)
Magnetic moment: 0.00 μB per cell
Theoretical density: 2.06 g/cm3

Below is a relaxed structure of BaCrIn2, with properties calculated at the PBE level.

a = 6.101 Å, b = 7.453 Å, c = 3.423 Å
α = 62.92°, β = 89.86°, γ = 118.89°
Fractional positions:
Ba  0.500  0.500  0.000
Cr  0.500  0.000  0.500
In  0.000  0.000  0.000
In  0.000  0.500  0.500

Computed properties:
Fermi-level density of states: 2.502 states/eV/f.u.
Energy of formation from the pure elements: 33.5 kJ per mole of atoms
Space-group type: C2/m (12)
Magnetic moment: 3.88 μB per cell
Theoretical density: 5.98 g/cm3

Below is a relaxed structure of SrZn2PdRu, with properties calculated at the PBE level.

a = 5.414 Å, b = 4.731 Å, c = 5.414 Å
α = 90.00°, β = 90.00°, γ = 90.00°
Fractional positions:
Ru  0.000  0.500  0.000
Zn  0.000  0.000  0.500
Zn  0.500  0.000  0.000
Pd  0.500  0.500  0.500
Sr  0.000  0.000  0.000

Computed properties:
Fermi-level density of states: 1.828 states/eV/f.u.
Energy of formation from the pure elements: 163.4 kJ per mole of atoms
Space-group type: P4/mmm (123)
Magnetic moment: 0.00 μB per cell
Theoretical density: 5.10 g/cm3

Copy entry 6 word for word.
Below is a relaxed structure of SbP2S8, with properties calculated at the PBE level.

a = 6.059 Å, b = 7.980 Å, c = 7.980 Å
α = 104.56°, β = 78.80°, γ = 78.80°
Fractional positions:
Sb  0.000  0.000  0.000
P  0.291  0.235  0.235
P  0.709  0.765  0.765
S  0.811  0.979  0.715
S  0.189  0.285  0.021
S  0.623  0.244  0.244
S  0.377  0.756  0.756
S  0.811  0.715  0.979
S  0.189  0.021  0.285
S  0.183  0.466  0.466
S  0.817  0.534  0.534

Computed properties:
Fermi-level density of states: 8.369 states/eV/f.u.
Total DFT energy (no corrections): -4.442 eV/atom
Space-group type: C2/m (12)
Magnetic moment: 0.00 μB per cell
Theoretical density: 2.06 g/cm3